No. 1
{"formula": "LaPaPb2", "functional": "PBE-GGA", "state": "optimized geometry", "formation_energy_ev_per_fu": -0.6, "spacegroup": "No. 123", "mass_density_g_cm3": 11.1, "dft_energy_ev_per_cell": -22.5, "magnetic_moment_mub_per_fu": 1.3, "e_above_lowest_polymorph_mev_per_atom": 52, "lattice_angstrom": [[5.098, 0.000, 0.000], [0.000, 5.098, 0.000], [0.000, 0.000, 4.516]], "species": ["La", "Pa", "Pb", "Pb"], "fractional_positions": [[0.000, 0.000, 0.000], [0.500, 0.500, 0.000], [0.000, 0.500, 0.500], [0.500, 0.000, 0.500]]}

---

No. 2
{"formula": "LaPaPb2", "functional": "PBE-GGA", "state": "optimized geometry", "formation_energy_ev_per_fu": -0.8, "spacegroup": "No. 123", "mass_density_g_cm3": 11.2, "dft_energy_ev_per_cell": -22.7, "magnetic_moment_mub_per_fu": 0.8, "e_above_lowest_polymorph_mev_per_atom": 0, "lattice_angstrom": [[3.549, 0.000, 0.000], [0.000, 3.549, 0.000], [0.000, 0.000, 9.247]], "species": ["La", "Pa", "Pb", "Pb"], "fractional_positions": [[0.000, 0.000, 0.000], [0.000, 0.000, 0.500], [0.500, 0.500, 0.258], [0.500, 0.500, 0.742]]}

---

No. 3
{"formula": "La2PaPb", "functional": "PBE-GGA", "state": "optimized geometry", "formation_energy_ev_per_fu": -0.4, "spacegroup": "No. 123", "mass_density_g_cm3": 9.9, "dft_energy_ev_per_cell": -23.4, "magnetic_moment_mub_per_fu": 0.0, "e_above_lowest_polymorph_mev_per_atom": 0, "lattice_angstrom": [[3.446, 0.000, 0.000], [0.000, 3.446, 0.000], [0.000, 0.000, 10.144]], "species": ["La", "La", "Pa", "Pb"], "fractional_positions": [[0.000, 0.000, 0.244], [0.000, 0.000, 0.756], [0.500, 0.500, 0.000], [0.500, 0.500, 0.500]]}